VSi2S6: relaxed, PBE.

Calculated values
ΔE_f (raw) (eV/f.u.): -5.086
Total magnetic moment (μB per cell): 2.00

Cell lengths 6.1434, 7.8382, 7.8382 Å; angles 84.77, 81.39, 81.39 degrees
With the nearest neighbours (Å) after each atom.
Element x y z (fractional)
V1 0.2500 0.1251 0.8749  4 S 2.24-2.39
V2 0.7500 0.8749 0.1251  4 S 2.24-2.39
Si1 0.1625 0.6236 0.7800  4 S 2.15-2.17
Si2 0.3375 0.2200 0.3764  4 S 2.15-2.17
Si3 0.8375 0.3764 0.2200  4 S 2.15-2.17
Si4 0.6625 0.7800 0.6236  4 S 2.15-2.17
S1 0.3678 0.7084 0.5500  2 Si 2.15
S2 0.1322 0.4500 0.2916  2 Si 2.15
S3 0.6322 0.2916 0.4500  2 Si 2.15
S4 0.8678 0.5500 0.7084  2 Si 2.15
S5 0.8459 0.8821 0.3890  1 Si 2.16, 1 V 2.24
S6 0.6541 0.6110 0.1179  1 Si 2.16, 1 V 2.24
S7 0.1541 0.1179 0.6110  1 Si 2.16, 1 V 2.24
S8 0.3459 0.3890 0.8821  1 Si 2.16, 1 V 2.24
S9 0.1134 0.8190 0.9656  1 Si 2.17, 1 V 2.39
S10 0.3866 0.0344 0.1810  1 Si 2.17, 1 V 2.39
S11 0.8866 0.1810 0.0344  1 Si 2.17, 1 V 2.39
S12 0.6134 0.9656 0.8190  1 Si 2.17, 1 V 2.39

=====

VSiS2: relaxed, PBE.

Calculated values
ΔE_f (raw) (eV/f.u.): -0.087
Total magnetic moment (μB per cell): 2.78

Cell lengths 7.6035, 7.6035, 7.6035 Å; angles 25.28, 25.28, 25.28 degrees
With the nearest neighbours (Å) after each atom.
Element x y z (fractional)
S1 0.8944 0.8944 0.8944  1 V 2.33, 3 Si 2.35
S2 0.1056 0.1056 0.1056  1 V 2.33, 3 Si 2.35
Si1 0.5000 0.5000 0.5000  6 S 2.35
V1 0.0000 0.0000 0.0000  2 S 2.33

=====

VSi3S: relaxed, PBE.

Calculated values
ΔE_f (raw) (eV/f.u.): 3.709
Total magnetic moment (μB per cell): 2.44
Offset from the most stable computed form (eV per atom): 0.000

Cell lengths 4.6560, 4.6560, 4.6560 Å; angles 90.00, 90.00, 90.00 degrees
With the nearest neighbours (Å) after each atom.
Element x y z (fractional)
S1 0.5000 0.5000 0.5000  12 Si 3.29
Si1 0.0000 0.5000 0.0000  2 V 2.33
Si2 0.0000 0.0000 0.5000  2 V 2.33
Si3 0.5000 0.0000 0.0000  2 V 2.33
V1 0.0000 0.0000 0.0000  6 Si 2.33

=====

VSiS2: relaxed, PBE.

Calculated values
ΔE_f (raw) (eV/f.u.): -0.347
Total magnetic moment (μB per cell): 4.17

Cell lengths 5.4004, 5.4004, 6.6654 Å; angles 66.10, 66.10, 90.00 degrees
With the nearest neighbours (Å) after each atom.
Element x y z (fractional)
S1 0.6320 0.1250 0.2500  2 V 2.33, 2 Si 2.37
S2 0.1180 0.6250 0.2500  2 V 2.33, 2 Si 2.37
S3 0.3750 0.3680 0.7500  2 V 2.33, 2 Si 2.37
S4 0.8750 0.8820 0.7500  2 V 2.33, 2 Si 2.37
Si1 0.5000 0.5000 0.0000  4 S 2.37
Si2 0.2500 0.7500 0.5000  4 S 2.37
V1 0.0000 0.0000 0.0000  4 S 2.33
V2 0.7500 0.2500 0.5000  4 S 2.33

=====

VSiS2: relaxed, PBE.

Calculated values
ΔE_f (raw) (eV/f.u.): -1.625
Total magnetic moment (μB per cell): 0.00

Cell lengths 8.1670, 8.1670, 8.1670 Å; angles 22.11, 22.11, 22.11 degrees
With the nearest neighbours (Å) after each atom.
Element x y z (fractional)
S1 0.8954 0.8954 0.8954  3 V 2.34, 1 Si 2.50
S2 0.1046 0.1046 0.1046  3 V 2.34, 1 Si 2.50
Si1 0.0000 0.0000 0.0000  2 S 2.50
V1 0.5000 0.5000 0.5000  6 S 2.34

=====

SiWS2: relaxed, PBE.

Calculated values
ΔE_f (raw) (eV/f.u.): 1.602
Total magnetic moment (μB per cell): 0.00

Cell lengths 5.3942, 5.3942, 6.4898 Å; angles 65.44, 65.44, 90.00 degrees
With the nearest neighbours (Å) after each atom.
Element x y z (fractional)
S1 0.6255 0.1250 0.2500  2 W 2.31, 2 Si 2.32
S2 0.1245 0.6250 0.2500  2 W 2.31, 2 Si 2.32
S3 0.3750 0.3745 0.7500  2 W 2.31, 2 Si 2.32
S4 0.8750 0.8755 0.7500  2 W 2.31, 2 Si 2.32
Si1 0.5000 0.5000 0.0000  4 S 2.32
Si2 0.2500 0.7500 0.5000  4 S 2.32
W1 0.0000 0.0000 0.0000  4 S 2.31
W2 0.7500 0.2500 0.5000  4 S 2.31